[1]
# La2MgCd6 | Alexandria | PBE | relaxed
data_La2MgCd6
_chemical_formula_sum 'La2 Mg1 Cd6'
_space_group_name_H-M_alt 'P -3 m 1'
_space_group_IT_number 164
_space_group_name_Hall '-P 3 2"'
_cell_length_a 6.4347
_cell_length_b 6.4347
_cell_length_c 6.4983
_cell_angle_alpha 90.00
_cell_angle_beta 90.00
_cell_angle_gamma 120.00
loop_
_atom_site_label
_atom_site_fract_x
_atom_site_fract_y
_atom_site_fract_z
_atom_site_occupancy
La1 0.3333 0.6667 0.3535 1
Mg1 0.0000 0.0000 0.5000 1
Cd1 0.1770 0.3540 0.8314 1
# - formation energy from the elements (kJ/mol of atoms) = -27



[2]
# AcB2H6 | Alexandria | PBE | relaxed
data_AcB2H6
_chemical_formula_sum 'Ac1 B2 H6'
_space_group_name_H-M_alt 'P -1'
_space_group_IT_number 2
_cell_length_a 4.138
_cell_length_b 4.152
_cell_length_c 7.322
_cell_angle_alpha 103.42
_cell_angle_beta 96.23
_cell_angle_gamma 90.58
loop_
_space_group_symop_operation_xyz
'x,y,z'
'-x,-y,-z'
loop_
_atom_site_label
_atom_site_fract_x
_atom_site_fract_y
_atom_site_fract_z
_atom_site_occupancy
Ac1 0.000 0.000 0.000 1
B1 0.478 0.457 0.894 1
H1 0.084 0.176 0.390 1
H2 0.217 0.284 0.364 1
H3 0.376 0.308 0.736 1
# - energy relative to the lowest polymorph listed for this composition (eV/f.u.) = 1.510



[3]
# Ba3Hf2S2O5 | Alexandria | PBE | relaxed
data_Ba3Hf2S2O5
_chemical_formula_sum 'Ba6 Hf4 S4 O10'
_space_group_name_H-M_alt 'I 4/m m m'
_space_group_IT_number 139
_space_group_name_Hall '-I 4 2'
_cell_length_a 4.283
_cell_length_b 4.283
_cell_length_c 24.388
_cell_angle_alpha 90.00
_cell_angle_beta 90.00
_cell_angle_gamma 90.00
loop_
_atom_site_label
_atom_site_fract_x
_atom_site_fract_y
_atom_site_fract_z
_atom_site_occupancy
Ba1 0.000 0.000 0.000 1
Ba2 0.000 0.000 0.174 1
Hf1 0.000 0.000 0.416 1
S1 0.000 0.000 0.308 1
O1 0.000 0.000 0.500 1
O2 0.000 0.500 0.084 1
# - raw formation energy (eV/atom) = -2.926



[4]
# GaHg2Cl | Alexandria | PBE | relaxed
data_GaHg2Cl
_chemical_formula_sum 'Ga3 Hg6 Cl3'
_space_group_name_H-M_alt 'R 3 m'
_space_group_IT_number 160
_space_group_name_Hall 'R 3 -2"'
_cell_length_a 4.1522
_cell_length_b 4.1522
_cell_length_c 22.1500
_cell_angle_alpha 90.00
_cell_angle_beta 90.00
_cell_angle_gamma 120.00
loop_
_atom_site_label
_atom_site_fract_x
_atom_site_fract_y
_atom_site_fract_z
_atom_site_occupancy
Ga1 0.0000 0.0000 0.0000 1
Hg1 0.0000 0.0000 0.4126 1
Hg2 0.0000 0.0000 0.5902 1
Cl1 0.0000 0.0000 0.1714 1
# - energy relative to the lowest polymorph listed for this composition (eV/f.u.) = 0.539
# - raw formation energy (eV/atom) = -0.196



[5]
# Cs2CdTcF | Alexandria | PBE | relaxed
data_Cs2CdTcF
_chemical_formula_sum 'Cs2 Cd1 Tc1 F1'
_space_group_name_H-M_alt 'P 4/m m m'
_space_group_IT_number 123
_space_group_name_Hall '-P 4 2'
_cell_length_a 7.186
_cell_length_b 7.186
_cell_length_c 4.197
_cell_angle_alpha 90.00
_cell_angle_beta 90.00
_cell_angle_gamma 90.00
loop_
_atom_site_label
_atom_site_fract_x
_atom_site_fract_y
_atom_site_fract_z
_atom_site_occupancy
Cs1 0.000 0.500 0.000 1
Cd1 0.000 0.000 0.500 1
Tc1 0.500 0.500 0.000 1
F1 0.500 0.500 0.500 1
# - raw formation energy (eV/atom) = 0.122



[6]
# HfBe3Rh4 | Alexandria | PBE | relaxed
data_HfBe3Rh4
_chemical_formula_sum 'Hf1 Be3 Rh4'
_space_group_name_H-M_alt 'P 4/m m m'
_space_group_IT_number 123
_space_group_name_Hall '-P 4 2'
_cell_length_a 4.108
_cell_length_b 4.108
_cell_length_c 5.972
_cell_angle_alpha 90.00
_cell_angle_beta 90.00
_cell_angle_gamma 90.00
loop_
_atom_site_label
_atom_site_fract_x
_atom_site_fract_y
_atom_site_fract_z
_atom_site_occupancy
Hf1 0.000 0.000 0.000 1
Be1 0.000 0.000 0.500 1
Be2 0.500 0.500 0.000 1
Be3 0.500 0.500 0.500 1
Rh1 0.000 0.500 0.273 1
# - formation energy from the elements (kJ/mol of atoms) = -69



| no. | ρ (g/cm³) |
| --- | --- |
| 1 | 6.96 |
| 2 | 3.48 |
| 3 | 6.78 |
| 4 | 7.63 |
| 5 | 3.79 |
| 6 | 10.17 |